[1]
Here is crystalline TlCr2Rh at its relaxed geometry from the Alexandria database. Energies are from PBE.

Volume in Å³ per atom: 16.0
Total magnetization in μB/atom: 0.00
SG: No. 10
E_tot in eV/atom: -6.825
Formation energy from the elements in eV/atom: 0.4159
Energy above the most stable polymorph in this dataset in meV/atom: 135

Unit cell a=2.8129 b=4.2009 c=5.4152 alpha=90.00 beta=90.08 gamma=90.00
With the nearest neighbours (Å) after each atom.
Fractional coordinates of all 4 atoms:
Tl 0.0000 0.0000 0.0000  2 Rh 2.71, 2 Tl 2.81
Cr 0.4989 0.5000 0.3232  1 Cr 1.91
Cr 0.5011 0.5000 0.6768  1 Cr 1.91
Rh 0.0000 0.0000 0.5000  8 Cr 2.70, 2 Tl 2.71, 2 Rh 2.81

=====

[2]
Here is crystalline TlCr2Rh at its relaxed geometry from the Alexandria database. Energies are from PBE.

Volume in Å³ per atom: 15.9
Total magnetization in μB/atom: 0.00
SG: No. 12
E_tot in eV/atom: -6.802
Formation energy from the elements in eV/atom: 0.4394
Energy above the most stable polymorph in this dataset in meV/atom: 159

Unit cell a=4.8696 b=4.8696 c=4.7895 alpha=101.74 beta=101.74 gamma=35.08
With the nearest neighbours (Å) after each atom.
Fractional coordinates of all 4 atoms:
Tl 0.0000 0.0000 0.0000  4 Rh 2.81, 2 Tl 2.94, 6 Cr 2.99-3.01
Cr 0.2393 0.2393 0.6627  2 Cr 2.18
Cr 0.7607 0.7607 0.3373  2 Cr 2.18
Rh 0.5000 0.5000 0.5000  6 Cr 2.64-2.70, 4 Tl 2.81, 2 Rh 2.94

=====

[3]
Here is crystalline TlCr2Rh at its relaxed geometry from the Alexandria database. Energies are from PBE.

Volume in Å³ per atom: 17.0
Total magnetization in μB/atom: 1.70
SG: No. 123
E_tot in eV/atom: -6.834
Formation energy from the elements in eV/atom: 0.4069
Energy above the most stable polymorph in this dataset in meV/atom: 126

Unit cell a=3.0377 b=3.0377 c=7.3517 alpha=90.00 beta=90.00 gamma=90.00
With the nearest neighbours (Å) after each atom.
Fractional coordinates of all 4 atoms:
Tl 0.0000 0.0000 0.0000  8 Cr 3.02, 4 Tl 3.04
Cr 0.5000 0.5000 0.2895  4 Rh 2.65
Cr 0.5000 0.5000 0.7105  4 Rh 2.65
Rh 0.0000 0.0000 0.5000  8 Cr 2.65

=====

[4]
Here is crystalline TlCrRh2 at its relaxed geometry from the Alexandria database. Energies are from PBE.

Volume in Å³ per atom: 16.2
Total magnetization in μB/atom: 0.69
SG: No. 8
E_tot in eV/atom: -6.465
Formation energy from the elements in eV/atom: 0.2078

Unit cell a=4.9287 b=4.9287 c=4.7429 alpha=101.97 beta=101.97 gamma=35.30
With the nearest neighbours (Å) after each atom.
Fractional coordinates of all 4 atoms:
Tl 0.0000 0.0000 0.0000  7 Rh 2.76-2.82, 3 Cr 2.99, 2 Tl 2.99
Cr 0.7609 0.7609 0.3247  5 Rh 2.62-2.77
Rh 0.2467 0.2467 0.7714  2 Cr 2.62, 3 Tl 2.76-2.82, 3 Rh 2.85-2.93
Rh 0.4964 0.4964 0.4931  3 Cr 2.65-2.77, 4 Tl 2.78-2.82, 3 Rh 2.85-2.93

=====

[5]
Here is crystalline Tl3CrRh at its relaxed geometry from the Alexandria database. Energies are from PBE.

Volume in Å³ per atom: 29.1
Total magnetization in μB/atom: 1.04
SG: No. 221
E_tot in eV/atom: -4.277
Formation energy from the elements in eV/atom: 0.5381
Energy above the most stable polymorph in this dataset in meV/atom: 0

Unit cell a=5.2591 b=5.2591 c=5.2591 alpha=90.00 beta=90.00 gamma=90.00
With the nearest neighbours (Å) after each atom.
Fractional coordinates of all 5 atoms:
Tl 0.0000 0.0000 0.5000  2 Rh 2.63
Tl 0.0000 0.5000 0.0000  2 Rh 2.63
Tl 0.5000 0.0000 0.0000  2 Rh 2.63
Cr 0.5000 0.5000 0.5000  12 Tl 3.72
Rh 0.0000 0.0000 0.0000  6 Tl 2.63

=====

[6]
Here is crystalline TlCr2Rh at its relaxed geometry from the Alexandria database. Energies are from PBE.

Volume in Å³ per atom: 17.1
Total magnetization in μB/atom: 1.60
SG: No. 166
E_tot in eV/atom: -6.654
Formation energy from the elements in eV/atom: 0.5872
Energy above the most stable polymorph in this dataset in meV/atom: 306

Unit cell a=8.8441 b=8.8441 c=8.8441 alpha=19.65 beta=19.65 gamma=19.65
With the nearest neighbours (Å) after each atom.
Fractional coordinates of all 4 atoms:
Tl 0.0000 0.0000 0.0000  6 Cr 2.96, 6 Tl 3.02
Cr 0.2415 0.2415 0.2415  3 Rh 2.61
Cr 0.7585 0.7585 0.7585  3 Rh 2.61
Rh 0.5000 0.5000 0.5000  6 Cr 2.61

=====

[7]
Here is crystalline TlCrRh2 at its relaxed geometry from the Alexandria database. Energies are from PBE.

Volume in Å³ per atom: 16.0
Total magnetization in μB/atom: 0.65
SG: No. 123
E_tot in eV/atom: -6.601
Formation energy from the elements in eV/atom: 0.0726

Unit cell a=2.9886 b=2.9886 c=7.1750 alpha=90.00 beta=90.00 gamma=90.00
With the nearest neighbours (Å) after each atom.
Fractional coordinates of all 4 atoms:
Tl 0.0000 0.0000 0.0000  8 Rh 2.95, 4 Tl 2.99
Cr 0.0000 0.0000 0.5000  8 Rh 2.60
Rh 0.5000 0.5000 0.2878  4 Cr 2.60
Rh 0.5000 0.5000 0.7122  4 Cr 2.60

=====

[8]
Here is crystalline TlCr2Rh at its relaxed geometry from the Alexandria database. Energies are from PBE.

Volume in Å³ per atom: 16.0
Total magnetization in μB/atom: 0.14
SG: No. 6
E_tot in eV/atom: -6.937
Formation energy from the elements in eV/atom: 0.3041
Energy above the most stable polymorph in this dataset in meV/atom: 23

Unit cell a=2.9802 b=2.9820 c=7.1960 alpha=90.00 beta=90.16 gamma=90.00
With the nearest neighbours (Å) after each atom.
Fractional coordinates of all 4 atoms:
Tl 0.0000 0.0000 0.0000  4 Rh 2.94, 4 Tl 2.98, 4 Cr 3.04-3.05
Cr 0.5041 0.5000 0.3056  4 Cr 2.49-2.53
Cr 0.9935 0.0000 0.4944  4 Cr 2.49-2.53, 4 Rh 2.64-2.65
Rh 0.4982 0.5000 0.7161  5 Cr 2.64-2.95, 4 Tl 2.94

=====

[9]
Here is crystalline TlCrRh at its relaxed geometry from the Alexandria database. Energies are from PBE.

Volume in Å³ per atom: 17.5
Total magnetization in μB/atom: 1.20
SG: No. 187
E_tot in eV/atom: -6.067
Formation energy from the elements in eV/atom: 0.3802

Unit cell a=4.4432 b=4.4432 c=3.0785 alpha=90.00 beta=90.00 gamma=120.00
With the nearest neighbours (Å) after each atom.
Fractional coordinates of all 3 atoms:
Tl 0.0000 0.0000 0.0000  6 Cr 2.99, 6 Rh 2.99, 2 Tl 3.08
Cr 0.6667 0.3333 0.5000  3 Rh 2.57
Rh 0.3333 0.6667 0.5000  3 Cr 2.57

=====

[10]
Here is crystalline TlCr2Rh at its relaxed geometry from the Alexandria database. Energies are from PBE.

Volume in Å³ per atom: 16.6
Total magnetization in μB/atom: 1.75
SG: No. 123
E_tot in eV/atom: -6.768
Formation energy from the elements in eV/atom: 0.4731
Energy above the most stable polymorph in this dataset in meV/atom: 192

Unit cell a=4.2391 b=4.2391 c=3.6908 alpha=90.00 beta=90.00 gamma=90.00
With the nearest neighbours (Å) after each atom.
Fractional coordinates of all 4 atoms:
Tl 0.0000 0.0000 0.0000  8 Cr 2.81, 4 Rh 3.00
Cr 0.0000 0.5000 0.5000  4 Tl 2.81, 4 Rh 2.81, 4 Cr 3.00
Cr 0.5000 0.0000 0.5000  4 Tl 2.81, 4 Rh 2.81, 4 Cr 3.00
Rh 0.5000 0.5000 0.0000  8 Cr 2.81, 4 Tl 3.00

=====

[11]
Here is crystalline TlCrRh2 at its relaxed geometry from the Alexandria database. Energies are from PBE.

Volume in Å³ per atom: 16.2
Total magnetization in μB/atom: 0.72
SG: No. 12
E_tot in eV/atom: -6.459
Formation energy from the elements in eV/atom: 0.2141

Unit cell a=4.6684 b=4.6684 c=5.0540 alpha=101.39 beta=101.39 gamma=36.96
With the nearest neighbours (Å) after each atom.
Fractional coordinates of all 4 atoms:
Tl 0.0000 0.0000 0.0000  6 Rh 2.78-2.84, 4 Cr 2.93, 2 Tl 2.96
Cr 0.5000 0.5000 0.5000  6 Rh 2.65-2.76, 4 Tl 2.93, 2 Cr 2.96
Rh 0.2407 0.2407 0.7224  3 Cr 2.65-2.76, 4 Rh 2.73-2.96, 3 Tl 2.78-2.84
Rh 0.7593 0.7593 0.2776  3 Cr 2.65-2.76, 4 Rh 2.73-2.96, 3 Tl 2.78-2.84

=====

[12]
Here is crystalline TlCrRh at its relaxed geometry from the Alexandria database. Energies are from PBE.

Volume in Å³ per atom: 17.2
Total magnetization in μB/atom: 1.12
SG: No. 44
E_tot in eV/atom: -6.152
Formation energy from the elements in eV/atom: 0.2955

Unit cell a=5.1838 b=5.1838 c=5.1838 alpha=144.88 beta=139.58 gamma=54.60
With the nearest neighbours (Å) after each atom.
Fractional coordinates of all 3 atoms:
Tl 0.0000 0.0000 0.0000  5 Cr 2.89-2.93, 5 Rh 2.91-2.92, 2 Tl 3.13
Cr 0.6862 0.6862 0.0000  4 Rh 2.66, 5 Tl 2.89-2.93
Rh 0.3158 0.3158 0.0000  4 Cr 2.66, 5 Tl 2.91-2.92

=====

no.,DOS at the Fermi energy (states/eV per atom),calculated density (g/cm3)
1,0.841,10.7
2,0.797,10.7
3,0.902,10.1
4,1.024,11.8
5,0.556,8.8
6,1.187,10.0
7,1.022,12.0
8,1.080,10.7
9,0.865,11.3
10,1.065,10.3
11,1.105,11.8
12,1.077,11.6